DFT (PBE-GGA) results for a geometry-optimized Tb3EuPt structure.

Results
density of states at the Fermi level: 1.50 states/eV per atom
E_form: -191 kJ/mol of formula units
space-group type: Pm-3m (221)
calculated total energy: -32.19 eV per cell
ρ: 7.966 g/cm3
total magnetization: 7.6 μB per cell

The structure in POSCAR format:
```
Tb3EuPt
1.0
-5.0615 2.1515 0.8046
-1.0918 -0.5404 -5.4232
-2.0210 -5.0965 0.9147
Pt Tb Eu
1 3 1
Cartesian
0.0000 0.0000 0.0000 Pt
-0.5459 -0.2702 -2.7116 Tb
-2.5307 1.0758 0.4023 Tb
-1.0105 -2.5482 0.4573 Tb
-4.0871 -1.7427 -1.8520 Eu
```

***

DFT (PBE-GGA) results for a geometry-optimized Li2TcW structure.

Results
density of states at the Fermi level: 0.76 states/eV per atom
E_form: 176 kJ/mol of formula units
space-group type: P4/mmm (123)
calculated total energy: -25.32 eV per cell
ρ: 8.240 g/cm3
total magnetization: 0.0 μB per cell

The structure in POSCAR format:
```
Li2TcW
1.0
-0.0273 -2.3338 0.9907
1.7965 0.6813 1.6545
-6.5403 2.6314 6.0183
Li W Tc
2 1 1
Cartesian
-3.2240 1.2971 2.9666 Li
-0.0462 0.0186 0.0425 Li
-4.0206 1.1473 5.8363 W
-0.7505 -0.1684 2.8272 Tc
```

***

DFT (PBE-GGA) results for a geometry-optimized La3P4Pd2 structure.

Results
density of states at the Fermi level: 0.73 states/eV per atom
E_form: -983 kJ/mol of formula units
space-group type: C2/m (12)
calculated total energy: -57.00 eV per cell
ρ: 6.343 g/cm3
total magnetization: 0.0 μB per cell

The structure in POSCAR format:
```
La3P4Pd2
1.0
-3.7883 -0.3048 1.7204
4.4848 -1.7350 4.5099
-1.2893 8.4663 -1.3392
P La Pd
4 3 2
Cartesian
0.4732 6.4328 2.1818 P
-0.5201 3.3460 4.5057 P
-0.0728 3.0805 0.3854 P
-1.0662 -0.0063 2.7093 P
-2.1352 5.5086 1.3324 La
0.0000 0.0000 0.0000 La
1.5423 0.9179 3.5588 La
0.8673 4.0695 2.6308 Pd
-1.4602 2.3570 2.2604 Pd
```

***

DFT (PBE-GGA) results for a geometry-optimized ErH8PdRh2 structure.

Results
density of states at the Fermi level: 0.16 states/eV per atom
space-group type: R-3 (148)
calculated total energy: -53.67 eV per cell
ρ: 7.913 g/cm3
total magnetization: 0.0 μB per cell

The structure in POSCAR format:
```
ErH8PdRh2
1.0
-3.4097 2.9292 -1.6698
-0.4446 0.7166 -4.7205
-4.5437 -2.7461 -2.4244
H Pd Rh Er
8 1 2 1
Cartesian
-5.4503 -0.7280 -5.8913 H
-2.7735 -0.5944 -2.2645 H
-2.1923 1.1742 -5.1843 H
-5.6245 1.4941 -6.5501 H
-2.9477 1.6277 -2.9234 H
-4.0571 2.6803 -4.8073 H
-4.3409 -1.7807 -4.0074 H
-6.2057 -0.2745 -3.6304 H
0.0000 0.0000 0.0000 Pd
-1.7205 0.6856 -2.1694 Rh
-6.6776 0.2140 -6.6452 Rh
-4.1990 0.4498 -4.4073 Er
```

***

DFT (PBE-GGA) results for a geometry-optimized Pm3Er6Tm2 structure.

Results
density of states at the Fermi level: 1.62 states/eV per atom
E_form: 299 kJ/mol of formula units
space-group type: I4/mmm (139)
calculated total energy: -47.47 eV per cell
ρ: 8.028 g/cm3
total magnetization: 0.0 μB per cell

The structure in POSCAR format:
```
Pm3Er6Tm2
1.0
4.7174 0.0000 0.0000
0.0000 4.7174 0.0000
-2.3587 -2.3587 16.5107
Er Pm Tm
6 3 2
Cartesian
2.3587 0.0000 3.9742 Er
0.0000 0.0000 10.1356 Er
0.0000 2.3587 12.5365 Er
2.3587 0.0000 12.5365 Er
0.0000 2.3587 3.9742 Er
2.3587 2.3587 6.3751 Er
0.0000 0.0000 6.6995 Pm
0.0000 0.0000 0.0000 Pm
2.3587 2.3587 9.8112 Pm
0.0000 0.0000 14.9836 Tm
2.3587 2.3587 1.5271 Tm
```

***

DFT (PBE-GGA) results for a geometry-optimized Ce6POs2Br3 structure.

Results
density of states at the Fermi level: 2.70 states/eV per atom
space-group type: C2/m (12)
uncorrected formation energy: -945.0 meV per atom
calculated total energy: -79.83 eV per cell
ρ: 7.567 g/cm3
total magnetization: 4.9 μB per cell

The structure in POSCAR format:
```
Ce6POs2Br3
1.0
7.1278 0.0023 0.0008
-3.5602 6.1750 0.0008
-1.1889 -2.0586 7.4360
Os Ce Br P
2 6 3 1
Cartesian
3.5673 2.0586 0.0008 Os
0.0003 4.1187 0.0008 Os
3.5955 2.0099 5.9396 Ce
0.0306 0.0530 5.9447 Ce
-0.0559 4.1187 5.9396 Ce
2.3481 4.0657 1.4930 Ce
-1.2167 2.1088 1.4981 Ce
2.4346 0.0000 1.4981 Ce
4.7812 -0.0151 3.7188 Br
-2.4025 4.1338 3.7188 Br
1.1894 2.0594 3.7188 Br
0.0000 0.0000 0.0000 P
```

***

DFT (PBE-GGA) results for a geometry-optimized ZrAl2P structure.

Results
density of states at the Fermi level: 0.50 states/eV per atom
E_form: -147 kJ/mol of formula units
space-group type: Imm2 (44)
calculated total energy: -22.97 eV per cell
ρ: 4.350 g/cm3
total magnetization: 0.0 μB per cell

The structure in POSCAR format:
```
ZrAl2P
1.0
5.0897 -0.0055 -0.0197
1.9653 4.6950 0.0197
-3.3897 -2.5521 2.8112
Al P Zr
2 1 1
Cartesian
2.5641 -0.1394 1.3957 Al
7.0442 4.6824 0.0000 Al
3.5376 2.3515 0.0000 P
1.1019 2.2773 1.4154 Zr
```

***

DFT (PBE-GGA) results for a geometry-optimized UAlCo4 structure.

Results
density of states at the Fermi level: 1.41 states/eV per atom
E_form: -131 kJ/mol of formula units
space-group type: F-43m (216)
calculated total energy: -44.82 eV per cell
ρ: 10.453 g/cm3
total magnetization: 0.7 μB per cell

The structure in POSCAR format:
```
UAlCo4
1.0
-0.3154 2.5387 4.0939
0.2203 -2.2560 4.2622
3.8853 0.5329 2.8151
Co U Al
4 1 1
Cartesian
2.3763 0.5113 7.0038 Co
0.4034 0.2407 5.5743 Co
2.2644 1.6569 4.8395 Co
2.5364 -0.7778 4.9249 Co
0.9476 0.2039 2.7928 U
0.0000 0.0000 0.0000 Al
```

***

Which of these has the highest total magnetization?
Tb3EuPt

***

calculated total energy of number 2 (Li2TcW)?
-25.32 eV per cell